(1)
# SbH3C2O4F6

An optimized crystal structure of SbH3C2O4F6 (PBE-GGA, the Alexandria database).

Properties
- E_tot (eV/atom) = -5.573
- space group = Cc
- crystal system = monoclinic
- total magnetic moment (μB/atom) = 0.004

Cell: 8.0030 8.0030 8.7739 Å, 121.07 121.07 71.13°
Positions (direct):
Sb (0.1476, 0.8524, 0.5000)
Sb (0.8524, 0.1476, 0.0000)
H (0.3784, 0.4021, 0.4642)
H (0.4021, 0.3784, 0.9642)
H (0.4229, 0.9423, 0.3947)
H (0.6216, 0.9270, 0.0674)
H (0.9270, 0.6216, 0.5674)
H (0.9423, 0.4229, 0.8947)
C (0.1732, 0.4837, 0.7998)
C (0.4837, 0.1732, 0.2998)
C (0.5197, 0.9505, 0.2346)
C (0.9505, 0.5197, 0.7346)
O (0.2438, 0.5263, 0.7317)
O (0.2582, 0.4072, 0.9272)
O (0.4072, 0.2582, 0.4272)
O (0.4815, 0.8597, 0.2959)
O (0.5263, 0.2438, 0.2317)
O (0.5925, 0.8477, 0.1103)
O (0.8477, 0.5925, 0.6103)
O (0.8597, 0.4815, 0.7959)
F (0.0496, 0.7576, 0.2224)
F (0.0720, 0.9571, 0.0082)
F (0.2531, 0.9484, 0.7777)
F (0.3279, 0.9987, 0.5356)
F (0.3416, 0.6326, 0.4929)
F (0.6326, 0.3416, 0.9929)
F (0.7037, 0.9643, 0.9541)
F (0.7576, 0.0496, 0.7224)
F (0.9484, 0.2531, 0.2777)
F (0.9571, 0.0720, 0.5082)
F (0.9643, 0.7037, 0.4541)
F (0.9987, 0.3279, 0.0356)



(2)
# Rb2HCF6

An optimized crystal structure of Rb2HCF6 (PBE-GGA, the Alexandria database).

Properties
- E_tot (eV/atom) = -4.017
- space group = I4/mmm
- crystal system = tetragonal
- total magnetic moment (μB/atom) = 0.100

Cell: 5.9667 5.9667 5.9667 Å, 119.97 119.97 90.05°
Positions (direct):
Rb (0.2500, 0.7500, 0.5000)
Rb (0.7500, 0.2500, 0.5000)
H (0.0000, 0.0000, 0.0000)
C (0.5000, 0.5000, 0.0000)
F (0.3120, 0.3120, 0.0000)
F (0.3122, 0.3122, 0.6243)
F (0.3122, 0.6878, 0.0000)
F (0.6878, 0.3122, 0.0000)
F (0.6880, 0.6880, 0.0000)
F (0.6878, 0.6878, 0.3757)



(3)
# Sm4HC2F

An optimized crystal structure of Sm4HC2F (PBE-GGA, the Alexandria database).

Properties
- E_tot (eV/atom) = -6.256
- space group = P2/m
- crystal system = monoclinic
- total magnetic moment (μB/atom) = 0.000

Cell: 6.3639 3.6804 6.3750 Å, 90.00 108.96 90.00°
Positions (direct):
Sm (0.2399, 0.0000, 0.2249)
Sm (0.2593, 0.5000, 0.7722)
Sm (0.7407, 0.5000, 0.2278)
Sm (0.7601, 0.0000, 0.7751)
H (0.0000, 0.0000, 0.5000)
C (0.0000, 0.5000, 0.0000)
C (0.5000, 0.0000, 0.0000)
F (0.5000, 0.5000, 0.5000)



(4)
# Tb4HC2F

An optimized crystal structure of Tb4HC2F (PBE-GGA, the Alexandria database).

Properties
- E_tot (eV/atom) = -6.276
- space group = P2/m
- crystal system = monoclinic
- total magnetic moment (μB/atom) = 0.000

Cell: 6.1917 3.6120 6.2428 Å, 90.00 109.01 90.00°
Positions (direct):
Tb (0.2240, 0.0000, 0.2388)
Tb (0.2275, 0.5000, 0.7404)
Tb (0.7725, 0.5000, 0.2596)
Tb (0.7760, 0.0000, 0.7612)
H (0.5000, 0.0000, 0.0000)
C (0.0000, 0.0000, 0.5000)
C (0.0000, 0.5000, 0.0000)
F (0.5000, 0.5000, 0.5000)



Question: What is the E_tot in the first record?
Answer: -5.573 eV/atom